Record 1
{
  "formula": "GdScOsPd",
  "functional": "PBE",
  "state": "optimized geometry",
  "lattice_angstrom": [[4.766, 0.000, 0.000], [2.383, 4.128, 0.000], [2.383, 1.376, 3.892]],
  "species": ["Sc", "Gd", "Os", "Pd"],
  "fractional_positions": [[0.500, 0.500, 0.500], [0.000, 0.000, 0.000], [0.750, 0.750, 0.750], [0.250, 0.250, 0.250]],
  "crystal_system": "cubic",
  "sg": "F-43m (216)",
  "m_tot_mub_per_fu": 7.00,
  "formation_energy_ev_per_fu": -2.13
}

***

Record 2
{
  "formula": "SmGdOsPd",
  "functional": "PBE",
  "state": "optimized geometry",
  "lattice_angstrom": [[-2.080, -0.345, -4.481], [-4.919, -0.386, -0.423], [-2.635, 3.785, -1.805]],
  "species": ["Gd", "Os", "Pd", "Sm"],
  "fractional_positions": [[0.750, 0.750, 0.750], [0.500, 0.500, 0.500], [0.000, 0.000, 0.000], [0.250, 0.250, 0.250]],
  "crystal_system": "cubic",
  "sg": "F-43m (216)",
  "m_tot_mub_per_fu": 7.07,
  "formation_energy_ev_per_fu": -1.72
}

***

Record 3
{
  "formula": "GdTmOsPd",
  "functional": "PBE",
  "state": "optimized geometry",
  "lattice_angstrom": [[4.866, 0.000, 0.000], [2.433, 4.214, 0.000], [2.433, 1.405, 3.973]],
  "species": ["Gd", "Tm", "Os", "Pd"],
  "fractional_positions": [[0.750, 0.750, 0.750], [0.250, 0.250, 0.250], [0.500, 0.500, 0.500], [0.000, 0.000, 0.000]],
  "crystal_system": "cubic",
  "sg": "F-43m (216)",
  "m_tot_mub_per_fu": 7.05,
  "formation_energy_ev_per_fu": -2.16
}

***

Record 4
{
  "formula": "GdYOsPd",
  "functional": "PBE",
  "state": "optimized geometry",
  "lattice_angstrom": [[4.906, 0.000, 0.000], [2.453, 4.249, 0.000], [2.453, 1.416, 4.006]],
  "species": ["Y", "Gd", "Os", "Pd"],
  "fractional_positions": [[0.750, 0.750, 0.750], [0.250, 0.250, 0.250], [0.500, 0.500, 0.500], [0.000, 0.000, 0.000]],
  "crystal_system": "cubic",
  "sg": "F-43m (216)",
  "m_tot_mub_per_fu": 7.05,
  "formation_energy_ev_per_fu": -1.95
}

***

- Which formula does entry 2 have?
  SmGdOsPd